Record 1
Entry from the Alexandria database: an optimized crystal structure of Y7Ho2Tm2 (PBE).

a b c (Å): 8.615 6.489 6.489
angles (deg): 92.69 82.50 82.50
Element x y z (fractional)
Y1 0.210 0.080 0.451
Y2 0.589 0.154 0.154
Y3 0.411 0.846 0.846
Y4 0.210 0.451 0.080
Y5 0.790 0.920 0.549
Y6 0.000 0.000 0.000
Y7 0.790 0.549 0.920
Ho1 0.856 0.396 0.396
Ho2 0.144 0.604 0.604
Tm1 0.500 0.675 0.325
Tm2 0.500 0.325 0.675



Record 2
Entry from the Alexandria database: an optimized crystal structure of CoIrRh (PBE).

a b c (Å): 2.683 2.683 6.448
angles (deg): 90.00 90.00 120.00
Site moments in Bohr magnetons follow the coordinates.
Element x y z (fractional)
Ir1 0.333 0.667 0.322  0.09
Rh1 0.667 0.333 0.676  0.09
Co1 0.000 0.000 0.002  1.65



| no. | relative energy among the computed polymorphs (eV/atom) | energy relative to the elements (eV/atom) | calculated total energy (eV/cell) |
| --- | --- | --- | --- |
| 1 | 0.000 | 0.10 | -62.258 |
| 2 | 0.000 | 0.04 | -23.213 |